A plane-wave DFT calculation with PBE was carried out for an optimized crystal structure of AcLaErHg.

The structure in CIF format:
```
data_AcLaErHg
_chemical_formula_sum 'Ac1 La1 Er1 Hg1'
_cell_length_a 5.671
_cell_length_b 5.671
_cell_length_c 5.671
_cell_angle_alpha 60.00
_cell_angle_beta 60.00
_cell_angle_gamma 60.00
_space_group_name_H-M_alt 'P 1'
_space_group_IT_number 1
loop_
_space_group_symop_operation_xyz
'x,y,z'
loop_
_atom_site_label
_atom_site_type_symbol
_atom_site_fract_x
_atom_site_fract_y
_atom_site_fract_z
_atom_site_occupancy
Ac1 Ac 0.000 0.000 0.000 1
La1 La 0.250 0.250 0.250 1
Er1 Er 0.750 0.750 0.750 1
Hg1 Hg 0.500 0.500 0.500 1
```

DFT formation energy: 0.02 eV/atom

A plane-wave DFT calculation with PBE was carried out for an optimized crystal structure of Ac3Mg7Ag2.

The structure in CIF format:
```
data_Ac3Mg7Ag2
_chemical_formula_sum 'Ac3 Mg7 Ag2'
_cell_length_a 10.405
_cell_length_b 10.405
_cell_length_c 10.405
_cell_angle_alpha 34.90
_cell_angle_beta 34.90
_cell_angle_gamma 34.90
_space_group_name_H-M_alt 'P 1'
_space_group_IT_number 1
loop_
_space_group_symop_operation_xyz
'x,y,z'
loop_
_atom_site_label
_atom_site_type_symbol
_atom_site_fract_x
_atom_site_fract_y
_atom_site_fract_z
_atom_site_occupancy
Ac1 Ac 0.000 0.000 0.000 1
Ac2 Ac 0.145 0.145 0.145 1
Ac3 Ac 0.855 0.855 0.855 1
Mg1 Mg 0.076 0.577 0.577 1
Mg2 Mg 0.423 0.423 0.924 1
Mg3 Mg 0.423 0.924 0.423 1
Mg4 Mg 0.500 0.500 0.500 1
Mg5 Mg 0.577 0.076 0.577 1
Mg6 Mg 0.577 0.577 0.076 1
Mg7 Mg 0.924 0.423 0.423 1
Ag1 Ag 0.334 0.334 0.334 1
Ag2 Ag 0.666 0.666 0.666 1
```

DFT formation energy: -0.17 eV/atom

A plane-wave DFT calculation with PBE was carried out for an optimized crystal structure of CaTeMo2.

The structure in CIF format:
```
data_CaTeMo2
_chemical_formula_sum 'Ca1 Te1 Mo2'
_cell_length_a 6.660
_cell_length_b 6.660
_cell_length_c 6.660
_cell_angle_alpha 38.00
_cell_angle_beta 38.00
_cell_angle_gamma 38.00
_space_group_name_H-M_alt 'P 1'
_space_group_IT_number 1
loop_
_space_group_symop_operation_xyz
'x,y,z'
loop_
_atom_site_label
_atom_site_type_symbol
_atom_site_fract_x
_atom_site_fract_y
_atom_site_fract_z
_atom_site_occupancy
Ca1 Ca 0.000 0.000 0.000 1
Te1 Te 0.211 0.211 0.211 1
Mo1 Mo 0.459 0.459 0.459 1
Mo2 Mo 0.791 0.791 0.791 1
```

Raw formation energy: 0.1514 eV per atom

A plane-wave DFT calculation with PBE was carried out for an optimized crystal structure of CaPmNdDy.

The structure in CIF format:
```
data_CaPmNdDy
_chemical_formula_sum 'Ca1 Pm1 Nd1 Dy1'
_cell_length_a 3.662
_cell_length_b 3.662
_cell_length_c 10.527
_cell_angle_alpha 90.00
_cell_angle_beta 90.00
_cell_angle_gamma 90.00
_space_group_name_H-M_alt 'P 1'
_space_group_IT_number 1
loop_
_space_group_symop_operation_xyz
'x,y,z'
loop_
_atom_site_label
_atom_site_type_symbol
_atom_site_fract_x
_atom_site_fract_y
_atom_site_fract_z
_atom_site_occupancy
Ca1 Ca 0.000 0.000 0.000 1
Pm1 Pm 0.500 0.500 0.735 1
Nd1 Nd 0.500 0.500 0.268 1
Dy1 Dy 0.000 0.000 0.502 1
```

DFT formation energy: 0.05 eV/atom